{
  "formula": "Nd6Rh3Au",
  "functional": "PBE",
  "state": "optimized geometry",
  "lattice": [[7.316, 0.000, 0.000], [0.000, 9.041, -0.144], [0.000, -2.158, 8.781]],
  "species": ["Rh", "Nd", "Rh", "Nd", "Nd", "Nd", "Nd", "Au", "Nd", "Rh", "Rh", "Rh", "Nd", "Nd", "Nd", "Au", "Nd", "Nd", "Nd", "Rh"],
  "frac_coords": [[0.970, 0.073, 0.297], [0.276, 0.013, 0.987], [0.387, 0.401, 0.599], [0.719, 0.897, 0.454], [0.118, 0.770, 0.230], [0.663, 0.299, 0.361], [0.219, 0.454, 0.897], [0.499, 0.834, 0.166], [0.618, 0.230, 0.770], [0.470, 0.297, 0.073], [0.470, 0.927, 0.703], [0.970, 0.703, 0.927], [0.163, 0.361, 0.299], [0.776, 0.987, 0.013], [0.163, 0.701, 0.639], [0.999, 0.166, 0.834], [0.663, 0.639, 0.701], [0.719, 0.546, 0.103], [0.219, 0.103, 0.546], [0.887, 0.599, 0.401]],
  "e_form_mev_per_atom": -520,
  "energy_ev_per_fu": -59.1,
  "de_polymorph_mev_per_atom": 71.1
}

{
  "formula": "Nd3Rh2Au3",
  "functional": "PBE",
  "state": "optimized geometry",
  "lattice": [[4.045, 0.000, 0.000], [0.000, 5.069, 0.051], [-2.022, -1.418, 8.945]],
  "species": ["Au", "Nd", "Au", "Au", "Nd", "Rh", "Rh", "Nd"],
  "frac_coords": [[0.372, 0.930, 0.744], [0.844, 0.419, 0.688], [0.628, 0.070, 0.256], [0.500, 0.500, 0.000], [0.156, 0.581, 0.312], [0.763, 0.845, 0.526], [0.237, 0.155, 0.474], [0.000, 0.000, 0.000]],
  "e_form_mev_per_atom": -634,
  "energy_ev_per_fu": -43.9
}

{
  "formula": "Nd3Rh7Au2",
  "functional": "PBE",
  "state": "optimized geometry",
  "lattice": [[-1.829, -3.199, 3.949], [2.104, -4.929, 0.675], [6.203, 0.660, 7.101]],
  "species": ["Nd", "Au", "Rh", "Rh", "Rh", "Nd", "Rh", "Rh", "Nd", "Au", "Rh", "Rh"],
  "frac_coords": [[0.000, 0.000, 0.000], [0.667, 0.667, 0.000], [0.917, 0.412, 0.258], [0.500, 0.500, 0.500], [0.412, 0.917, 0.258], [0.140, 0.140, 0.580], [0.588, 0.588, 0.742], [0.083, 0.588, 0.742], [0.860, 0.860, 0.420], [0.333, 0.333, 0.000], [0.412, 0.412, 0.258], [0.588, 0.083, 0.742]],
  "e_form_mev_per_atom": -545,
  "energy_ev_per_fu": -78.9
}

{
  "formula": "Nd5RhAu2",
  "functional": "PBE",
  "state": "optimized geometry",
  "lattice": [[-3.761, -1.756, 0.115], [2.471, -4.823, 7.199], [-3.962, 8.968, 7.368]],
  "species": ["Nd", "Au", "Rh", "Nd", "Au", "Nd", "Rh", "Nd", "Nd", "Au", "Nd", "Au", "Nd", "Nd", "Nd", "Nd"],
  "frac_coords": [[0.000, 0.854, 0.202], [0.500, 0.931, 0.678], [0.000, 0.000, 0.000], [0.000, 0.500, 0.000], [0.500, 0.431, 0.822], [0.000, 0.146, 0.798], [0.000, 0.500, 0.500], [0.500, 0.181, 0.081], [0.500, 0.681, 0.419], [0.500, 0.569, 0.178], [0.000, 0.354, 0.298], [0.500, 0.069, 0.322], [0.500, 0.319, 0.581], [0.000, 0.646, 0.702], [0.500, 0.819, 0.919], [0.000, 0.000, 0.500]],
  "e_form_mev_per_atom": -600,
  "energy_ev_per_fu": -42.5
}